Record 1
Below is an optimized crystal structure of InAgTe3Pb, with properties calculated at the PBE-GGA level.

## Properties
ρ ... 6.4 g/cm³
Energy relative to the elements, uncorrected ... -0.237 eV per atom

Lattice parameters (Å, degrees): 4.4697 8.2099 11.9472 107.11 90.00 90.00
Positions (direct):
Pb  0.2500  0.2186  0.2920
Ag  0.2500  0.3749  0.9976
In  0.7500  0.7144  0.3269
Te  0.7500  0.9373  0.1893
Ag  0.7500  0.6251  0.0024
Te  0.7500  0.3877  0.1498
In  0.2500  0.2856  0.6731
Te  0.2500  0.0627  0.8107
Pb  0.7500  0.7814  0.7080
Te  0.2500  0.6123  0.8502
Te  0.2500  0.6869  0.4676
Te  0.7500  0.3131  0.5324


Record 2
Below is an optimized crystal structure of Re2HgW, with properties calculated at the PBE-GGA level.

## Properties
ρ ... 16.7 g/cm³
Formation energy ... 1.198 eV per atom
D(E_F) ... 2.2 states/eV/f.u.

Lattice parameters (Å, degrees): 7.4576 7.4576 5.9307 51.04 51.04 90.00
Positions (direct):
Re  0.1725  0.6250  0.2500
Hg  0.0000  0.0000  0.0000
W  0.2500  0.7500  0.5000
Re  0.5775  0.1250  0.2500
Re  0.3750  0.4225  0.7500
Hg  0.7500  0.2500  0.5000
W  0.5000  0.5000  0.0000
Re  0.8750  0.8275  0.7500


Record 3
Below is an optimized crystal structure of LaHoTlPb, with properties calculated at the PBE-GGA level.

## Properties
ρ ... 10.1 g/cm³
Formation energy ... -0.434 eV per atom
D(E_F) ... 3.4 states/eV/f.u.

Lattice parameters (Å, degrees): 5.1288 5.1290 5.7603 116.44 116.44 90.00
Positions (direct):
Tl  0.5000  0.5000  0.0000
Pb  0.0000  0.0000  0.0000
La  0.7500  0.2500  0.5000
Ho  0.2500  0.7500  0.5000


Record 4
Below is an optimized crystal structure of Nd5Y5Er, with properties calculated at the PBE-GGA level.

## Properties
ρ ... 5.9 g/cm³
Formation energy ... 0.263 eV per atom
D(E_F) ... 19.4 states/eV/f.u.

Lattice parameters (Å, degrees): 6.0916 9.8853 6.9953 108.32 90.00 107.95
Site moments in Bohr magnetons follow the coordinates.
Positions (direct):
Nd  0.3280  0.6560  0.8138  0.05
Nd  0.6720  0.3440  0.1862  0.05
Nd  0.6257  0.2514  0.6413  0.01
Y  0.1772  0.3545  0.4160  0.02
Nd  0.3743  0.7486  0.3587  0.01
Y  0.8259  0.6518  0.0780  0.02
Er  0.0000  0.0000  0.0000  0.24
Y  0.5000  0.0000  0.0000  0.21
Y  0.8228  0.6455  0.5840  0.02
Y  0.1741  0.3482  0.9220  0.02
Nd  0.0000  0.0000  0.5000  0.03


Record 5
Below is an optimized crystal structure of LiLa2InTe5, with properties calculated at the PBE-GGA level.

## Properties
ρ ... 6.1 g/cm³
Energy relative to the elements, uncorrected ... -1.134 eV per atom

Lattice parameters (Å, degrees): 4.4444 10.0168 13.0901 90.00 90.00 102.82
Positions (direct):
Te  0.3596  0.7191  0.9953
Te  0.9614  0.9227  0.5812
La  0.8729  0.7458  0.8043
Te  0.7046  0.4093  0.1612
Li  0.7819  0.5638  0.5195
Te  0.3030  0.6061  0.3368
Te  0.5046  0.0093  0.7793
Te  0.4954  0.9907  0.2793
Te  0.0386  0.0773  0.0812
Li  0.2181  0.4362  0.0195
La  0.1271  0.2542  0.3043
Te  0.2954  0.5907  0.6612
La  0.8767  0.7534  0.1800
Te  0.6404  0.2809  0.4953
In  0.5815  0.1631  0.9662
Te  0.6970  0.3939  0.8368
In  0.4185  0.8369  0.4662
La  0.1233  0.2466  0.6800


Record 6
Below is an optimized crystal structure of CoAgMo2, with properties calculated at the PBE-GGA level.

## Properties
ρ ... 9.8 g/cm³
Formation energy ... 0.289 eV per atom
D(E_F) ... 4.4 states/eV/f.u.

Lattice parameters (Å, degrees): 2.6851 2.6851 8.8434 90.00 90.00 107.25
Site moments in Bohr magnetons follow the coordinates.
Positions (direct):
Mo  0.0000  0.0000  0.9851  0.01
Ag  0.0000  0.0000  0.5142  0.00
Co  0.5000  0.5000  0.7629  1.44
Mo  0.5000  0.5000  0.2378  0.00


Record 7
Below is an optimized crystal structure of K3Cd8Ag, with properties calculated at the PBE-GGA level.

## Properties
ρ ... 5.4 g/cm³
Formation energy ... -0.032 eV per atom
D(E_F) ... 2.8 states/eV/f.u.

Lattice parameters (Å, degrees): 6.2004 6.2004 10.8958 73.47 73.47 60.00
Positions (direct):
Cd  0.4440  0.9405  0.6750
K  0.9971  0.9971  0.0088
Cd  0.9354  0.4379  0.1889
Cd  0.6890  0.6890  0.9330
K  0.3761  0.3761  0.8717
Ag  0.8570  0.8570  0.4291
Cd  0.9405  0.9405  0.6750
Cd  0.4379  0.4379  0.1889
Cd  0.4379  0.9354  0.1889
K  0.5040  0.5040  0.4881
Cd  0.1907  0.1907  0.4278
Cd  0.9405  0.4440  0.6750


Record 8
Below is an optimized crystal structure of Ac4La2Bi3N2, with properties calculated at the PBE-GGA level.

## Properties
ρ ... 8.4 g/cm³
Energy relative to the elements, uncorrected ... -0.979 eV per atom
D(E_F) ... 2.8 states/eV/f.u.

Lattice parameters (Å, degrees): 5.1232 5.1232 14.2946 100.32 100.32 90.00
Positions (direct):
Bi  0.1804  0.1804  0.3609
Ac  0.9154  0.4154  0.8308
Bi  0.0000  0.0000  0.0000
Bi  0.8196  0.8196  0.6391
La  0.6920  0.6920  0.3840
N  0.3893  0.3893  0.7787
Ac  0.5846  0.0846  0.1692
Ac  0.0846  0.5846  0.1692
N  0.6107  0.6107  0.2213
Ac  0.4154  0.9154  0.8308
La  0.3080  0.3080  0.6160


Record 9
Below is an optimized crystal structure of NaErZnGa, with properties calculated at the PBE-GGA level.

## Properties
ρ ... 6.3 g/cm³
Formation energy ... -0.190 eV per atom
D(E_F) ... 1.8 states/eV/f.u.

Lattice parameters (Å, degrees): 4.9522 4.9522 4.9522 60.00 60.00 60.00
Positions (direct):
Ga  0.2500  0.2500  0.2500
Na  0.0000  0.0000  0.0000
Er  0.5000  0.5000  0.5000
Zn  0.7500  0.7500  0.7500


Record 10
Below is an optimized crystal structure of Cs3Na2Cd4, with properties calculated at the PBE-GGA level.

## Properties
ρ ... 3.7 g/cm³
Formation energy ... -0.043 eV per atom
D(E_F) ... 4.6 states/eV/f.u.

Lattice parameters (Å, degrees): 5.5511 7.5874 11.3975 66.31 75.89 68.53
Positions (direct):
Cd  0.0863  0.4621  0.3681
Na  0.6792  0.4152  0.2252
Cs  0.0000  0.0000  0.0000
Cs  0.6237  0.1245  0.6288
Cd  0.9137  0.5379  0.6319
Cs  0.3763  0.8755  0.3712
Na  0.3208  0.5848  0.7748
Cd  0.7497  0.5840  0.9180
Cd  0.2503  0.4160  0.0820


Record 11
Below is an optimized crystal structure of NaGe3Pt3, with properties calculated at the PBE-GGA level.

## Properties
ρ ... 10.6 g/cm³
Formation energy ... -0.348 eV per atom
D(E_F) ... 2.2 states/eV/f.u.

Lattice parameters (Å, degrees): 7.6522 7.6522 6.7549 55.50 55.50 60.00
Positions (direct):
Ge  0.4587  0.7638  0.6757
Pt  0.3517  0.0697  0.8110
Na  0.6659  0.6659  0.0023
Pt  0.2324  0.6483  0.1890
Pt  0.7676  0.3517  0.8110
Ge  0.8982  0.5413  0.3243
Ge  0.2362  0.8982  0.3243
Ge  0.7638  0.1018  0.6757
Ge  0.5413  0.2362  0.3243
Pt  0.0697  0.7676  0.8110
Pt  0.9303  0.2324  0.1890
Ge  0.1018  0.4587  0.6757
Na  0.3341  0.3341  0.9977
Pt  0.6483  0.9303  0.1890


Record 12
Below is an optimized crystal structure of Pm2Pr8Sn, with properties calculated at the PBE-GGA level.

## Properties
ρ ... 6.8 g/cm³
Formation energy ... -0.117 eV per atom
D(E_F) ... 14.2 states/eV/f.u.

Lattice parameters (Å, degrees): 5.0591 8.2019 9.7132 104.47 105.10 90.00
Positions (direct):
Pr  0.1367  0.1779  0.2733
Pm  0.7756  0.3657  0.5513
Pr  0.6755  0.9084  0.3509
Pr  0.3245  0.0916  0.6491
Pr  0.5895  0.4381  0.1791
Pr  0.4105  0.5619  0.8209
Pr  0.0424  0.7350  0.0849
Pm  0.2244  0.6343  0.4487
Pr  0.8633  0.8221  0.7267
Sn  0.5000  0.0000  0.0000
Pr  0.9576  0.2650  0.9151


Record 13
Below is an optimized crystal structure of CrSiAg3, with properties calculated at the PBE-GGA level.

## Properties
ρ ... 6.3 g/cm³
Energy relative to the elements, uncorrected ... 0.659 eV per atom
D(E_F) ... 1.8 states/eV/f.u.

Lattice parameters (Å, degrees): 4.7507 4.7507 4.7507 90.00 90.00 90.00
Site moments in Bohr magnetons follow the coordinates.
Positions (direct):
Ag  0.0000  0.5000  0.0000  0.00
Si  0.0000  0.0000  0.0000  -0.01
Cr  0.5000  0.5000  0.5000  4.15
Ag  0.5000  0.0000  0.0000  0.00
Ag  0.0000  0.0000  0.5000  0.01


Record 14
Below is an optimized crystal structure of Si2GeP, with properties calculated at the PBE-GGA level.

## Properties
ρ ... 3.3 g/cm³
Energy relative to the elements, uncorrected ... 0.142 eV per atom
D(E_F) ... 2.6 states/eV/f.u.

Lattice parameters (Å, degrees): 5.3931 5.3931 6.7467 66.44 66.44 90.00
Positions (direct):
P  0.2500  0.7500  0.5000
Si  0.3750  0.3891  0.7500
P  0.5000  0.5000  0.0000
Si  0.6109  0.1250  0.2500
Ge  0.7500  0.2500  0.5000
Ge  0.0000  0.0000  0.0000
Si  0.1391  0.6250  0.2500
Si  0.8750  0.8609  0.7500


Record 15
Below is an optimized crystal structure of SrHfHg2, with properties calculated at the PBE-GGA level.

## Properties
ρ ... 10.7 g/cm³
Formation energy ... -0.005 eV per atom
D(E_F) ... 2.1 states/eV/f.u.

Lattice parameters (Å, degrees): 5.2789 5.2789 5.2789 60.00 60.00 60.00
Positions (direct):
Sr  0.0000  0.0000  0.0000
Hg  0.2500  0.2500  0.2500
Hf  0.5000  0.5000  0.5000
Hg  0.7500  0.7500  0.7500


Record 16
Below is an optimized crystal structure of BeAsAu, with properties calculated at the PBE-GGA level.

## Properties
ρ ... 8.2 g/cm³
Formation energy ... -0.009 eV per atom
D(E_F) ... 0.0 states/eV/f.u.

Lattice parameters (Å, degrees): 3.9650 4.5672 6.3227 90.00 94.64 89.99
Positions (direct):
Au  0.0321  0.2719  0.8688
Au  0.5324  0.3539  0.3684
As  0.8331  0.9264  0.5641
As  0.3327  0.7000  0.0641
Be  0.8038  0.7597  0.9012
Be  0.3043  0.8660  0.4014


Record 17
Below is an optimized crystal structure of Na2BeSnAu6, with properties calculated at the PBE-GGA level.

## Properties
ρ ... 9.7 g/cm³
Formation energy ... -0.176 eV per atom
D(E_F) ... 2.9 states/eV/f.u.

Lattice parameters (Å, degrees): 7.2968 6.5747 7.1517 63.69 54.16 90.81
Positions (direct):
Au  0.6758  0.7727  0.4715
Sn  0.5000  0.5000  0.0000
Au  0.2321  0.7614  0.9346
Au  0.7747  0.6818  0.0723
Au  0.7679  0.2386  0.0654
Be  0.0000  0.0000  0.0000
Na  0.2275  0.7768  0.4402
Au  0.3242  0.2273  0.5285
Na  0.7725  0.2232  0.5598
Au  0.2253  0.3182  0.9277


Record 18
Below is an optimized crystal structure of MnZn2Ir, with properties calculated at the PBE-GGA level.

## Properties
ρ ... 11.1 g/cm³
Formation energy ... -0.066 eV per atom
D(E_F) ... 3.1 states/eV/f.u.

Lattice parameters (Å, degrees): 2.8227 3.6768 5.4491 90.00 90.00 90.00
Site moments in Bohr magnetons follow the coordinates.
Positions (direct):
Zn  0.0000  0.0000  0.0022  -0.03
Mn  0.5000  0.5000  0.7390  3.20
Ir  0.0000  0.0000  0.5076  0.09
Zn  0.5000  0.5000  0.2512  -0.01


Record 19
Below is an optimized crystal structure of SiAsPC, with properties calculated at the PBE-GGA level.

## Properties
ρ ... 3.6 g/cm³
Energy relative to the elements, uncorrected ... 0.467 eV per atom
D(E_F) ... 1.1 states/eV/f.u.

Lattice parameters (Å, degrees): 2.9144 3.0192 8.0423 98.40 97.64 103.90
Positions (direct):
As  0.7039  0.8976  0.7302
C  0.3903  0.0893  0.1095
Si  0.3118  0.5093  0.9504
P  0.9623  0.1631  0.2559


Record 20
Below is an optimized crystal structure of AlCoSi2, with properties calculated at the PBE-GGA level.

## Properties
ρ ... 4.4 g/cm³
Energy relative to the elements, uncorrected ... -0.044 eV per atom
D(E_F) ... 1.0 states/eV/f.u.

Lattice parameters (Å, degrees): 7.5781 7.5781 7.5781 22.08 22.08 22.08
Site moments in Bohr magnetons follow the coordinates.
Positions (direct):
Si  0.0062  0.0062  0.0062  -0.01
Co  0.7452  0.7452  0.7452  0.47
Al  0.4941  0.4941  0.4941  -0.01
Si  0.2546  0.2546  0.2546  -0.01


Record 21
Below is an optimized crystal structure of BaSb12Rh4, with properties calculated at the PBE-GGA level.

## Properties
ρ ... 7.8 g/cm³
Energy relative to the elements, uncorrected ... -0.475 eV per atom
D(E_F) ... 8.9 states/eV/f.u.

Lattice parameters (Å, degrees): 8.2088 8.2088 8.2088 109.47 109.47 109.47
Positions (direct):
Rh  0.5000  0.0000  0.0000
Sb  0.4978  0.8417  0.6561
Sb  0.8417  0.6561  0.4978
Sb  0.1855  0.8417  0.3439
Ba  0.0000  0.0000  0.0000
Sb  0.3439  0.5022  0.1583
Sb  0.6561  0.4978  0.8417
Rh  0.0000  0.0000  0.5000
Sb  0.8417  0.3439  0.1855
Sb  0.6561  0.8145  0.1583
Rh  0.0000  0.5000  0.0000
Sb  0.5022  0.1583  0.3439
Sb  0.3439  0.1855  0.8417
Sb  0.8145  0.1583  0.6561
Sb  0.1583  0.6561  0.8145
Rh  0.5000  0.5000  0.5000
Sb  0.1583  0.3439  0.5022


Record 22
Below is an optimized crystal structure of NaAl2I6, with properties calculated at the PBE-GGA level.

## Properties
ρ ... 3.2 g/cm³
Energy relative to the elements, uncorrected ... -0.681 eV per atom

Lattice parameters (Å, degrees): 7.7376 7.7376 9.4266 65.77 65.77 60.00
Site moments in Bohr magnetons follow the coordinates.
Positions (direct):
I  0.4318  0.0687  0.7556  0.05
I  0.0687  0.7439  0.7556  0.05
Al  0.6106  0.6106  0.1681  0.07
Na  0.3341  0.3341  0.9978  0.00
I  0.9084  0.2717  0.2456  0.05
I  0.5743  0.9084  0.2456  0.05
Al  0.7222  0.7222  0.8334  0.07
I  0.2717  0.5743  0.2456  0.05
I  0.7439  0.4318  0.7556  0.05


Record 23
Below is an optimized crystal structure of HfMg2Al, with properties calculated at the PBE-GGA level.

## Properties
ρ ... 5.3 g/cm³
Formation energy ... -0.098 eV per atom
D(E_F) ... 1.7 states/eV/f.u.

Lattice parameters (Å, degrees): 4.5058 4.1908 4.1908 90.00 90.00 90.00
Positions (direct):
Mg  0.0000  0.0000  0.5000
Hf  0.5000  0.5000  0.5000
Mg  0.0000  0.5000  0.0000
Al  0.5000  0.0000  0.0000


Record 24
Below is an optimized crystal structure of TmZrSc3, with properties calculated at the PBE-GGA level.

## Properties
ρ ... 5.0 g/cm³
Formation energy ... 0.159 eV per atom
D(E_F) ... 6.5 states/eV/f.u.

Lattice parameters (Å, degrees): 3.2747 7.8665 13.0409 129.17 90.00 90.00
Positions (direct):
Sc  0.7500  0.2898  0.9130
Sc  0.2500  0.7102  0.0870
Sc  0.7500  0.6114  0.4347
Tm  0.7500  0.7223  0.8663
Zr  0.2500  0.8747  0.3718
Zr  0.7500  0.1253  0.6282
Tm  0.2500  0.2777  0.1337
Sc  0.2500  0.3886  0.5653
Sc  0.7500  0.1274  0.2924
Sc  0.2500  0.8726  0.7076